1.
First-principles (PBEsol) data for an optimized crystal structure of Li2YI2, as listed in the Alexandria database.

Cell and atoms, written as extended XYZ:
```
10
Lattice="7.894 0.000 0.000 0.000 7.894 0.000 0.000 0.000 3.703" Properties=species:S:1:pos:R:3 pbc="T T T"
Li 0.973 2.974 0.000
Li 2.974 6.921 0.000
Li 4.920 0.973 0.000
Li 6.921 4.920 0.000
Y 0.000 0.000 0.000
Y 3.947 3.947 0.000
I 1.446 5.394 1.851
I 2.501 1.446 1.851
I 5.394 6.448 1.851
I 6.448 2.501 1.851
```

Computed properties:
**Total magnetic moment**: 0.0 μB per cell
**ΔE_f (raw)**: -0.441 eV/atom
**Density of states at the Fermi level**: 0.778 states/eV/atom

2.
First-principles (PBEsol) data for an optimized crystal structure of PdWSCl2, as listed in the Alexandria database.

Cell and atoms, written as extended XYZ:
```
5
Lattice="4.568 0.000 0.000 0.000 4.568 0.000 0.000 0.000 4.868" Properties=species:S:1:pos:R:3 pbc="T T T"
Pd 0.000 0.000 0.000
W 2.284 2.284 2.434
S 0.000 0.000 2.434
Cl 0.000 2.284 0.000
Cl 2.284 0.000 0.000
```

Computed properties:
**Total magnetic moment**: 4.0 μB per cell
**ΔE_f (raw)**: 1.013 eV/atom
**Density of states at the Fermi level**: 1.018 states/eV/atom

3.
First-principles (PBEsol) data for an optimized crystal structure of Co8Mo, as listed in the Alexandria database.

Cell and atoms, written as extended XYZ:
```
9
Lattice="-3.709 3.709 1.747 3.709 -3.709 1.747 3.709 3.709 -1.747" Properties=species:S:1:pos:R:3 pbc="T T T"
Co 2.503 0.000 0.000
Co 4.915 0.000 0.000
Co 2.441 2.441 0.000
Co 1.267 -1.267 1.747
Co 0.000 2.503 0.000
Co 0.000 4.915 0.000
Co -1.267 1.267 1.747
Co 1.267 1.267 1.747
Mo 0.000 0.000 0.000
```

Computed properties:
**Total magnetic moment**: 8.8 μB per cell
**E_form**: 0.95 kcal/mol of atoms
**Density of states at the Fermi level**: 1.257 states/eV/atom

4.
First-principles (PBEsol) data for an optimized crystal structure of NaPt2, as listed in the Alexandria database.

Cell and atoms, written as extended XYZ:
```
6
Lattice="0.000 3.732 3.732 3.732 0.000 3.732 3.732 3.732 0.000" Properties=species:S:1:pos:R:3 pbc="T T T"
Na 0.933 0.933 0.933
Na 6.531 6.531 6.531
Pt 3.732 1.866 1.866
Pt 1.866 3.732 1.866
Pt 1.866 1.866 3.732
Pt 3.732 3.732 3.732
```

Computed properties:
**Total magnetic moment**: 0.0 μB per cell
**E_form**: -6.78 kcal/mol of atoms
**Density of states at the Fermi level**: 0.209 states/eV/atom
**E above lowest polymorph**: 0 meV/atom